# 1
# Pm2Sm3Se6

A relaxed Pm2Sm3Se6 crystal (PBE, the Alexandria database).

Values from the calculation:
Formation energy without anion corrections (eV/atom): -1.81
Space group: No. 166
Relative energy among the computed polymorphs (kJ/mol of formula units): 89.8

Cell lengths 20.5676, 20.5676, 20.5676 Å; angles 11.80, 11.80, 11.80 degrees
Closest atoms and distances in Å follow each position.
Atoms (fractional coordinates):
Pm1 0.0531 0.0531 0.0531  6 Se 2.83-3.10
Pm2 0.9469 0.9469 0.9469  6 Se 2.83-3.10
Sm1 0.2205 0.2205 0.2205  6 Se 2.93-3.00
Sm2 0.5000 0.5000 0.5000  6 Se 2.96
Sm3 0.7795 0.7795 0.7795  6 Se 2.93-3.00
Se1 0.1394 0.1394 0.1394  6 Sm 2.93-2.96
Se2 0.3036 0.3036 0.3036  3 Pm 2.83
Se3 0.4176 0.4176 0.4176  3 Sm 3.00, 3 Pm 3.10
Se4 0.5824 0.5824 0.5824  3 Sm 3.00, 3 Pm 3.10
Se5 0.6964 0.6964 0.6964  3 Pm 2.83
Se6 0.8606 0.8606 0.8606  6 Sm 2.93-2.96


# 2
# Ho5PuIr6

A relaxed Ho5PuIr6 crystal (PBE, the Alexandria database).

Values from the calculation:
E_form (eV/atom): -0.758
Space group: No. 65

Cell lengths 7.5041, 7.5041, 7.0846 Å; angles 90.00, 90.00, 143.17 degrees
Closest atoms and distances in Å follow each position.
Atoms (fractional coordinates):
Ho1 0.0000 0.0000 0.0000  8 Ir 2.95-2.96
Ho2 0.3329 0.6671 0.0000  8 Ir 2.96-2.97
Ho3 0.3327 0.6673 0.5000  8 Ir 2.96-2.97
Ho4 0.6671 0.3329 0.0000  8 Ir 2.96-2.97
Ho5 0.6673 0.3327 0.5000  8 Ir 2.96-2.97
Pu1 0.0000 0.0000 0.5000  8 Ir 2.95-2.96
Ir1 0.1655 0.8345 0.2496  7 Ho 2.95-2.97, 1 Pu 2.95
Ir2 0.1655 0.8345 0.7504  7 Ho 2.95-2.97, 1 Pu 2.95
Ir3 0.5000 0.5000 0.2508  2 Pu 2.96, 6 Ho 2.96-2.97
Ir4 0.5000 0.5000 0.7492  2 Pu 2.96, 6 Ho 2.96-2.97
Ir5 0.8345 0.1655 0.2496  7 Ho 2.95-2.97, 1 Pu 2.95
Ir6 0.8345 0.1655 0.7504  7 Ho 2.95-2.97, 1 Pu 2.95


# 3
# Dy6PS3N2

A relaxed Dy6PS3N2 crystal (PBE, the Alexandria database).

Values from the calculation:
Formation energy without anion corrections (eV/atom): -1.82
Space group: No. 12

Cell lengths 8.5304, 8.5304, 7.6792 Å; angles 104.57, 104.57, 25.34 degrees
Closest atoms and distances in Å follow each position.
Atoms (fractional coordinates):
Dy1 0.0163 0.0163 0.2575  1 N 2.49, 2 P 2.68, 2 S 2.70
Dy2 0.3221 0.3221 0.4369  3 N 2.44-2.53
Dy3 0.3305 0.3305 0.8826  2 N 2.52, 1 S 2.71, 1 P 2.73
Dy4 0.6695 0.6695 0.1174  2 N 2.52, 1 S 2.71, 1 P 2.73
Dy5 0.6779 0.6779 0.5631  3 N 2.44-2.53
Dy6 0.9837 0.9837 0.7425  1 N 2.49, 2 P 2.68, 2 S 2.70
P1 0.5000 0.5000 0.0000  6 Dy 2.68-2.73
S1 0.1629 0.1629 0.8307  6 Dy 2.71-2.88
S2 0.5000 0.5000 0.5000  6 Dy 2.70-2.87
S3 0.8371 0.8371 0.1693  6 Dy 2.71-2.88
N1 0.1708 0.1708 0.3380  6 Dy 2.44-2.53
N2 0.8292 0.8292 0.6620  6 Dy 2.44-2.53


# 4
# RbTlBi2B

A relaxed RbTlBi2B crystal (PBE, the Alexandria database).

Values from the calculation:
E_form (eV/atom): 0.558
Space group: No. 123

Cell lengths 5.1960, 5.1960, 5.9063 Å; angles 90.00, 90.00, 90.00 degrees
Closest atoms and distances in Å follow each position.
Atoms (fractional coordinates):
Rb1 0.0000 0.0000 0.0000  2 B 2.95
Tl1 0.5000 0.5000 0.0000  4 Rb 3.67, 8 Bi 3.93
Bi1 0.0000 0.5000 0.5000  2 B 2.60
Bi2 0.5000 0.0000 0.5000  2 B 2.60
B1 0.0000 0.0000 0.5000  4 Bi 2.60